Density functional theory data (PBE-GGA) for a relaxed structure of BaErO3.

Cell: 4.399 4.399 4.399 Å, 90.00 90.00 90.00°
Space group Pm-3m (No. 221)
Symmetry-distinct sites (fractional):
1 Ba 0.000 0.000 0.000 [1 per cell]
2 Er 0.500 0.500 0.500 [1 per cell]
3 O 0.000 0.500 0.500 [3 per cell]

Calculated values
- D(E_F) (states/eV/cell) = 3.45
- formation energy from raw total energies (eV per atom) = -2.75
- spin magnetization (μB/cell) = 1.000
- calculated volume (Å³/cell) = 85.11

Density functional theory data (PBE-GGA) for a relaxed structure of BaEr2OsO8.

Cell: 6.996 7.535 7.187 Å, 90.00 90.00 90.00°
Space group Cmmm (No. 65)
Symmetry-distinct sites (fractional):
1 Ba 0.000 0.000 0.000 [2 per cell]
2 Er 0.000 0.500 0.236 [4 per cell]
3 Os 0.000 0.000 0.500 [2 per cell]
4 O 0.000 0.249 0.500 [4 per cell]
5 O 0.000 0.332 0.000 [4 per cell]
6 O 0.192 0.000 0.316 [8 per cell]

Calculated values
- D(E_F) (states/eV/cell) = 2.06
- formation energy from raw total energies (eV per atom) = -2.24
- spin magnetization (μB/cell) = 0.000
- calculated volume (Å³/cell) = 378.85

Density functional theory data (PBE-GGA) for a relaxed structure of BaErOs2O8.

Cell: 5.9310 5.9310 7.5588 Å, 90.00 90.00 120.00°
Space group P-3m1 (No. 164)
Symmetry-distinct sites (fractional):
1 Ba 0.0000 0.0000 0.0000 [1 per cell]
2 Er 0.0000 0.0000 0.5000 [1 per cell]
3 Os 0.3333 0.6667 0.7683 [2 per cell]
4 O 0.1630 0.3259 0.6931 [6 per cell]
5 O 0.3333 0.6667 0.0072 [2 per cell]

Calculated values
- D(E_F) (states/eV/cell) = 5.45
- formation energy from raw total energies (eV per atom) = -1.68
- spin magnetization (μB/cell) = 3.016
- calculated volume (Å³/cell) = 230.27

Density functional theory data (PBE-GGA) for a relaxed structure of Ba3ErPb2O6.

Cell: 6.2208 6.2208 7.1806 Å, 90.00 90.00 120.00°
Space group P-3m1 (No. 164)
Symmetry-distinct sites (fractional):
1 Ba 0.0000 0.0000 0.0000 [1 per cell]
2 Ba 0.3333 0.6667 0.6186 [2 per cell]
3 Er 0.0000 0.0000 0.5000 [1 per cell]
4 Pb 0.3333 0.6667 0.1295 [2 per cell]
5 O 0.1681 0.3363 0.3174 [6 per cell]

Calculated values
- D(E_F) (states/eV/cell) = 4.43
- formation energy from raw total energies (eV per atom) = -2.24
- spin magnetization (μB/cell) = 0.373
- calculated volume (Å³/cell) = 240.65

Density functional theory data (PBE-GGA) for a relaxed structure of Ba2Er3PbO8.

Cell: 6.9504 6.9504 18.9635 Å, 90.00 90.00 120.00°
Space group R3m (No. 160, hexagonal axes)
Symmetry-distinct sites (fractional):
1 Ba 0.0000 0.0000 0.0000 [3 per cell]
2 Ba 0.0000 0.0000 0.3740 [3 per cell]
3 Er 0.1717 0.3434 0.8313 [9 per cell]
4 Pb 0.0000 0.0000 0.6058 [3 per cell]
5 O 0.0000 0.0000 0.2285 [3 per cell]
6 O 0.0000 0.0000 0.7813 [3 per cell]
7 O 0.0403 0.5201 0.7688 [9 per cell]
8 O 0.1718 0.3436 0.5655 [9 per cell]

Calculated values
- D(E_F) (states/eV/cell) = 8.03
- formation energy from raw total energies (eV per atom) = -2.78
- spin magnetization (μB/cell) = 2.218
- calculated volume (Å³/cell) = 793.36

Density functional theory data (PBE-GGA) for a relaxed structure of Ba2ErPb2O6.

Cell: 6.3544 6.3544 18.8821 Å, 90.00 90.00 120.00°
Space group R-3m (No. 166, hexagonal axes)
Symmetry-distinct sites (fractional):
1 Ba 0.0000 0.0000 0.1907 [6 per cell]
2 Er 0.0000 0.0000 0.0000 [3 per cell]
3 Pb 0.0000 0.0000 0.3741 [6 per cell]
4 O 0.0297 0.5148 0.7506 [18 per cell]

Calculated values
- D(E_F) (states/eV/cell) = 17.45
- formation energy from raw total energies (eV per atom) = -2.00
- spin magnetization (μB/cell) = 2.919
- calculated volume (Å³/cell) = 660.28

Density functional theory data (PBE-GGA) for a relaxed structure of Ba2ErPdO4.

Cell: 6.513 6.513 7.119 Å, 90.00 90.00 90.00°
Space group I-4 (No. 82)
Symmetry-distinct sites (fractional):
1 Ba 0.000 0.000 0.000 [2 per cell]
2 Ba 0.000 0.500 0.250 [2 per cell]
3 Er 0.000 0.500 0.750 [2 per cell]
4 Pd 0.000 0.000 0.500 [2 per cell]
5 O 0.165 0.700 0.564 [8 per cell]

Calculated values
- formation energy from raw total energies (eV per atom) = -2.14
- spin magnetization (μB/cell) = 2.001
- calculated volume (Å³/cell) = 302.01

Density functional theory data (PBE-GGA) for a relaxed structure of Ba2ErPdO5.

Cell: 3.547 13.976 11.991 Å, 90.00 90.00 90.00°
Space group Cmc2_1 (No. 36)
Symmetry-distinct sites (fractional):
1 Ba 0.000 0.096 0.000 [4 per cell]
2 Ba 0.000 0.150 0.622 [4 per cell]
3 Er 0.000 0.207 0.337 [4 per cell]
4 Pd 0.000 0.479 0.765 [4 per cell]
5 O 0.000 0.051 0.367 [4 per cell]
6 O 0.000 0.277 0.954 [4 per cell]
7 O 0.000 0.332 0.715 [4 per cell]
8 O 0.000 0.371 0.305 [4 per cell]
9 O 0.000 0.485 0.099 [4 per cell]

Calculated values
- D(E_F) (states/eV/cell) = 9.57
- formation energy from raw total energies (eV per atom) = -2.17
- spin magnetization (μB/cell) = 0.000
- calculated volume (Å³/cell) = 594.45

- Look up the calculated volume of the fifth one.
  793.36 Å³/cell

- Which value of calculated volume does entry 7 give?
  302.01 Å³/cell